Cr3TeBr | meta-GGA SCAN | single point on PBEsol structure

The value obtained for the total energy is -21.839 eV per atom. As for the crystal system: cubic. Its total magnetization is 15.0 μB per formula unit. The calculation puts the formation energy from raw total energies at 2.67 eV/f.u. As for the density of states at the Fermi level: 0.35 states/eV per atom.

The space group is Pm-3m (No. 221) and the conventional cell measures 4.977, 4.977 and 4.977 Å, with angles of 90.00, 90.00 and 90.00 degrees. Symmetry generates all atoms from Cr at (0.000, 0.000, 0.500), Te at (0.500, 0.500, 0.500) and Br at (0.000, 0.000, 0.000).